Version P
Here is crystalline Na2PSe3 at its relaxed geometry from Alexandria. Energies are from GGA-PBE.

abc: 7.5378 12.6606 14.3255
angles: 90.00 90.00 90.00
With the nearest neighbours (Å) after each atom.
Space group Cmce (No. 64)
One atom of each set of equivalent atoms:
Na: 0.0000 0.0346 0.1722 (multiplicity 8)  3 Se 2.96-3.14
Na: 0.0000 0.1566 0.5785 (multiplicity 8)  5 Se 2.98-3.17
P: 0.0000 0.2400 0.8469 (multiplicity 8)  4 Se 2.21-2.42
Se: 0.0000 0.0882 0.3735 (multiplicity 8)  1 P 2.21
Se: 0.0000 0.1401 0.9735 (multiplicity 8)  1 P 2.21
Se: 0.2500 0.1918 0.7500 (multiplicity 8)  2 P 2.42



Version Q
Here is crystalline Na2PSe3 at its relaxed geometry from Alexandria. Energies are from GGA-PBE.

abc: 11.9436 13.4402 8.0797
angles: 90.00 90.00 90.00
With the nearest neighbours (Å) after each atom.
Space group Cmce (No. 64)
One atom of each set of equivalent atoms:
Na: 0.0000 0.1853 0.1581 (multiplicity 8)  6 Se 3.13-3.22, 1 P 3.29
Na: 0.2500 0.0268 0.7500 (multiplicity 8)  6 Se 3.07-3.22
P: 0.0000 0.0779 0.5553 (multiplicity 8)  3 Se 2.21-2.22, 1 P 2.28
Se: 0.0000 0.0522 0.8264 (multiplicity 8)  1 P 2.22
Se: 0.1530 0.1540 0.4681 (multiplicity 16)  1 P 2.21



Least stable = version P



Version P
Here is crystalline Na2PSe at its relaxed geometry from Alexandria. Energies are from GGA-PBE.

abc: 6.9553 6.9553 6.9553
angles: 90.00 90.00 90.00
With the nearest neighbours (Å) after each atom.
Space group Fm-3m (No. 225)
One atom of each set of equivalent atoms:
Na: 0.2500 0.2500 0.2500 (multiplicity 8)  4 Se 3.01, 4 P 3.01
P: 0.0000 0.0000 0.0000 (multiplicity 4)  8 Na 3.01
Se: 0.0000 0.0000 0.5000 (multiplicity 4)  8 Na 3.01



Version Q
Here is crystalline Na2PSe at its relaxed geometry from Alexandria. Energies are from GGA-PBE.

abc: 8.0430 8.0430 5.4149
angles: 90.00 90.00 90.00
With the nearest neighbours (Å) after each atom.
Space group I-42d (No. 122)
One atom of each set of equivalent atoms:
Na: 0.2474 0.2500 0.1250 (multiplicity 8)  2 Na 2.71, 2 P 2.91, 2 Se 2.94
P: 0.0000 0.0000 0.0000 (multiplicity 4)  2 Se 2.71, 4 Na 2.91
Se: 0.0000 0.0000 0.5000 (multiplicity 4)  2 P 2.71, 4 Na 2.94



Least stable = version P



Version P
Here is crystalline NaPSe4 at its relaxed geometry from Alexandria. Energies are from GGA-PBE.

abc: 13.3954 7.9914 5.9228
angles: 90.00 110.27 90.00
With the nearest neighbours (Å) after each atom.
Space group C2/c (No. 15)
One atom of each set of equivalent atoms:
Na: 0.0000 0.1306 0.2500 (multiplicity 4)  6 Se 2.95-3.08
P: 0.2500 0.2500 0.0000 (multiplicity 4)  6 Se 2.59-2.61
Se: 0.0629 0.3728 0.9474 (multiplicity 8)  1 Se 2.36, 1 P 2.61
Se: 0.1943 0.0162 0.6786 (multiplicity 8)  2 P 2.59-2.60



Version Q
Here is crystalline NaPSe4 at its relaxed geometry from Alexandria. Energies are from GGA-PBE.

abc: 8.5066 11.6540 7.0531
angles: 90.00 90.00 90.00
With the nearest neighbours (Å) after each atom.
Space group Ama2 (No. 40)
One atom of each set of equivalent atoms:
Na: 0.0000 0.0000 0.0000 (multiplicity 4)  4 Se 2.88-3.00
P: 0.2500 0.0677 0.4779 (multiplicity 4)  4 Se 2.19-2.34
Se: 0.0604 0.1618 0.3223 (multiplicity 8)  1 P 2.24
Se: 0.2500 0.1030 0.7827 (multiplicity 4)  1 P 2.19
Se: 0.2500 0.3732 0.8978 (multiplicity 4)  1 P 2.34



Least stable = version P



Version P
Here is crystalline NaSi3P at its relaxed geometry from Alexandria. Energies are from GGA-PBE.

abc: 4.7019 4.7019 4.7019
angles: 90.00 90.00 90.00
With the nearest neighbours (Å) after each atom.
Space group Pm-3m (No. 221)
One atom of each set of equivalent atoms:
Na: 0.0000 0.0000 0.0000 (multiplicity 1)  12 Si 3.32
Si: 0.0000 0.5000 0.5000 (multiplicity 3)  2 P 2.35
P: 0.5000 0.5000 0.5000 (multiplicity 1)  6 Si 2.35



Version Q
Here is crystalline NaSi3P at its relaxed geometry from Alexandria. Energies are from GGA-PBE.

abc: 4.8869 4.8869 4.8869
angles: 90.00 90.00 90.00
With the nearest neighbours (Å) after each atom.
Space group Pm-3m (No. 221)
One atom of each set of equivalent atoms:
Na: 0.0000 0.0000 0.0000 (multiplicity 1)  6 Si 2.44
Si: 0.0000 0.0000 0.5000 (multiplicity 3)  2 Na 2.44
P: 0.5000 0.5000 0.5000 (multiplicity 1)  12 Si 3.46



Least stable = version Q



Version P
Here is crystalline NaSrSiP2 at its relaxed geometry from Alexandria. Energies are from GGA-PBE.

abc: 6.0122 12.2454 5.9586
angles: 90.00 90.00 90.00
With the nearest neighbours (Å) after each atom.
Space group Cmme (No. 67)
One atom of each set of equivalent atoms:
Na: 0.2500 0.0000 0.0000 (multiplicity 4)  4 P 2.89, 2 Na 3.01
Sr: 0.0000 0.2500 0.2559 (multiplicity 4)  8 P 3.11-3.26, 2 Si 3.39
Si: 0.0000 0.0000 0.5000 (multiplicity 4)  2 P 2.42
P: 0.0000 0.1581 0.7424 (multiplicity 8)  1 P 2.25, 1 Si 2.42



Version Q
Here is crystalline NaSrSiP2 at its relaxed geometry from Alexandria. Energies are from GGA-PBE.

abc: 5.5628 5.5628 5.6080
angles: 90.00 90.00 90.00
With the nearest neighbours (Å) after each atom.
Space group P4/mmm (No. 123)
One atom of each set of equivalent atoms:
Na: 0.0000 0.0000 0.0000 (multiplicity 1)  4 Si 3.93, 8 P 3.95
Sr: 0.5000 0.5000 0.5000 (multiplicity 1)  4 P 2.78, 2 Si 2.80
Si: 0.5000 0.5000 0.0000 (multiplicity 1)  2 Sr 2.80
P: 0.0000 0.5000 0.5000 (multiplicity 2)  2 Sr 2.78



Least stable = version Q



Version P
Here is crystalline Na2SnP at its relaxed geometry from Alexandria. Energies are from GGA-PBE.

abc: 7.1662 7.1662 7.1662
angles: 90.00 90.00 90.00
With the nearest neighbours (Å) after each atom.
Space group Fm-3m (No. 225)
One atom of each set of equivalent atoms:
Na: 0.2500 0.2500 0.2500 (multiplicity 8)  4 Sn 3.10, 4 P 3.10
Sn: 0.0000 0.0000 0.0000 (multiplicity 4)  8 Na 3.10
P: 0.0000 0.0000 0.5000 (multiplicity 4)  8 Na 3.10



Version Q
Here is crystalline Na2SnP at its relaxed geometry from Alexandria. Energies are from GGA-PBE.

abc: 4.2907 4.2907 20.8232
angles: 90.00 90.00 90.00
With the nearest neighbours (Å) after each atom.
Space group I-42d (No. 122)
One atom of each set of equivalent atoms:
Na: 0.2259 0.2500 0.1250 (multiplicity 8)  4 Na 2.89-3.18, 2 P 2.98, 2 Sn 3.05
Sn: 0.0000 0.0000 0.5000 (multiplicity 4)  4 P 3.03, 4 Na 3.05
P: 0.0000 0.0000 0.0000 (multiplicity 4)  4 Na 2.98, 4 Sn 3.03



Least stable = version Q